# BaReOs2Ru

An optimized crystal structure of BaReOs2Ru (PBE, Alexandria).

Lattice parameters (Å, degrees): 4.881 4.769 4.881 90.00 90.00 90.00
Atoms (fractional coordinates):
Ru (0.000, 0.500, 0.000)
Os (0.000, 0.000, 0.500)
Os (0.500, 0.000, 0.000)
Re (0.500, 0.500, 0.500)
Ba (0.000, 0.000, 0.000)

Values from the calculation:
For the formation energy, the calculation gives 4.06 eV/atom. Its crystal system is tetragonal.

***

# Pr3IrICl

An optimized crystal structure of Pr3IrICl (PBE, Alexandria).

Lattice parameters (Å, degrees): 4.184 9.777 9.979 93.51 90.00 90.00
Atoms (fractional coordinates):
Pr (0.250, 0.652, 0.427)
Pr (0.750, 0.823, 0.145)
Pr (0.250, 0.578, 0.852)
Pr (0.250, 0.177, 0.855)
Pr (0.750, 0.348, 0.573)
Pr (0.750, 0.422, 0.148)
Cl (0.250, 0.140, 0.567)
Cl (0.750, 0.860, 0.433)
Ir (0.250, 0.626, 0.147)
Ir (0.750, 0.374, 0.853)
I (0.750, 0.886, 0.825)
I (0.250, 0.114, 0.175)

Values from the calculation:
Its crystal system is monoclinic. The calculation puts the formation energy from raw total energies at -1073 meV/atom.

***

# BaMg4Mn

An optimized crystal structure of BaMg4Mn (PBE, Alexandria).

Lattice parameters (Å, degrees): 6.107 6.107 6.107 60.00 60.00 60.00
Atoms (fractional coordinates):
Mg (0.871, 0.376, 0.376)
Mg (0.376, 0.376, 0.376)
Mg (0.376, 0.871, 0.376)
Mg (0.376, 0.376, 0.871)
Ba (0.000, 0.000, 0.000)
Mn (0.750, 0.750, 0.750)

Values from the calculation:
For the formation energy, the calculation gives 0.24 eV/atom. Its crystal system is cubic.

***

# AcNiSn

An optimized crystal structure of AcNiSn (PBE, Alexandria).

Lattice parameters (Å, degrees): 3.500 3.500 6.438 105.77 105.77 90.00
Atoms (fractional coordinates):
Ac (0.014, 0.014, 0.027)
Ni (0.691, 0.691, 0.382)
Sn (0.295, 0.295, 0.591)

Values from the calculation:
For the formation energy, the calculation gives -0.23 eV/atom. Its crystal system is tetragonal.

***

# La2Zn4Ga3Au

An optimized crystal structure of La2Zn4Ga3Au (PBE, Alexandria).

Lattice parameters (Å, degrees): 4.365 4.365 10.628 90.00 90.00 90.00
Atoms (fractional coordinates):
Zn (0.000, 0.000, 0.000)
Zn (0.000, 0.500, 0.365)
Zn (0.500, 0.500, 0.000)
Zn (0.500, 0.000, 0.635)
Ga (0.500, 0.000, 0.868)
Ga (0.000, 0.000, 0.500)
Ga (0.000, 0.500, 0.132)
Au (0.500, 0.500, 0.500)
La (0.000, 0.500, 0.753)
La (0.500, 0.000, 0.247)

Values from the calculation:
For the formation energy, the calculation gives -0.51 eV/atom. Its crystal system is tetragonal.

***

# Cr2NiSe

An optimized crystal structure of Cr2NiSe (PBE, Alexandria).

Lattice parameters (Å, degrees): 3.660 2.900 5.256 70.40 90.00 90.00
Atoms (fractional coordinates):
Cr (0.000, 0.627, 0.463)
Cr (0.000, 0.873, 0.037)
Se (0.500, 0.750, 0.750)
Ni (0.500, 0.250, 0.250)

Values from the calculation:
Its crystal system is monoclinic. The calculation puts the formation energy from raw total energies at 292 meV/atom.

***

> What is the formula in the sixth record?

Cr2NiSe